The following is a DFT calculation (PBE) of an optimized crystal structure of Ni2MoAuN.

a = 3.9366 Å, b = 3.9366 Å, c = 4.0295 Å
α = 90.00°, β = 90.00°, γ = 90.00°
Closest atoms and distances in Å follow each position.
Space group P4/mmm (No. 123)
Inequivalent atoms, fractional coordinates:
Ni  0.0000  0.5000  0.0000 (multiplicity 2)  2 N 1.97
Mo  0.0000  0.0000  0.5000 (multiplicity 1)  2 N 2.01
Au  0.5000  0.5000  0.5000 (multiplicity 1)  4 Mo 2.78, 8 Ni 2.82
N  0.0000  0.0000  0.0000 (multiplicity 1)  4 Ni 1.97, 2 Mo 2.01

Computed properties:
The total energy comes out at -33.9 eV for the cell shown.